The following is a DFT calculation (GGA-PBE) of a geometry-optimized Tm6Si2PS3 structure.

Results
space group	No. 12
DFT total energy	-6.142	eV/atom

a = 3.954 Å, b = 7.912 Å, c = 8.838 Å
α = 102.82°, β = 102.92°, γ = 90.00°
Positions (direct):
Si: 0.167 0.333 0.334
Tm: 0.335 0.914 0.671
Tm: 0.002 0.245 0.005
Tm: 0.333 0.419 0.667
Tm: 0.667 0.581 0.333
Tm: 0.665 0.086 0.329
Tm: 0.998 0.755 0.995
P: 0.500 0.000 0.000
Si: 0.833 0.667 0.666
S: 0.500 0.500 0.000
S: 0.835 0.166 0.670
S: 0.165 0.834 0.330